[1]
Compound: La3Sm2Er4
Source: the Alexandria database
Functional: PBE
Structure: relaxed

Cell and atoms, written as CIF:
```
data_La3Sm2Er4
_chemical_formula_sum 'La3 Sm2 Er4'
_cell_length_a 9.9385
_cell_length_b 9.9385
_cell_length_c 3.5202
_cell_angle_alpha 90.00
_cell_angle_beta 90.00
_cell_angle_gamma 120.05
_space_group_name_H-M_alt 'P 1'
_space_group_IT_number 1
loop_
_space_group_symop_operation_xyz
'x,y,z'
loop_
_atom_site_label
_atom_site_fract_x
_atom_site_fract_y
_atom_site_fract_z
La1 0.0000 0.0000 0.0000
La2 0.3280 0.6720 0.0000
La3 0.6720 0.3280 0.0000
Sm1 0.3345 0.3345 0.5000
Sm2 0.6655 0.6655 0.5000
Er1 0.0005 0.3332 0.5000
Er2 0.9995 0.6668 0.5000
Er3 0.3332 0.0005 0.5000
Er4 0.6668 0.9995 0.5000
```

Summary:
Total moment, μB/f.u.: 0.0
Crystal system: orthorhombic
Energy of formation, eV per atom: 0.06
Calculated volume, A^3/atom: 33.44
E, eV per atom: -4.65

=====

[2]
Compound: La8Sm3Er
Source: the Alexandria database
Functional: PBE
Structure: relaxed

Cell and atoms, written as CIF:
```
data_La8Sm3Er
_chemical_formula_sum 'La8 Sm3 Er1'
_cell_length_a 8.8330
_cell_length_b 8.8330
_cell_length_c 8.8330
_cell_angle_alpha 134.18
_cell_angle_beta 101.02
_cell_angle_gamma 96.43
_space_group_name_H-M_alt 'P 1'
_space_group_IT_number 1
loop_
_space_group_symop_operation_xyz
'x,y,z'
loop_
_atom_site_label
_atom_site_fract_x
_atom_site_fract_y
_atom_site_fract_z
La1 0.0845 0.2478 0.8367
La2 0.2726 0.2226 0.4952
La3 0.2726 0.7774 0.0499
La4 0.4111 0.2478 0.1633
La5 0.5889 0.7522 0.8367
La6 0.7274 0.2226 0.9501
La7 0.7274 0.7774 0.5048
La8 0.9155 0.7522 0.1633
Sm1 0.2577 0.7577 0.5000
Sm2 0.5000 0.5000 0.0000
Sm3 0.7423 0.2423 0.5000
Er1 0.0000 0.0000 0.0000
```

Summary:
Total moment, μB/f.u.: 0.0
Crystal system: orthorhombic
Energy of formation, eV per atom: 0.29
Calculated volume, A^3/atom: 37.90
E, eV per atom: -4.55

=====

[3]
Compound: LaSm6Er
Source: the Alexandria database
Functional: PBE
Structure: relaxed

Cell and atoms, written as CIF:
```
data_LaSm6Er
_chemical_formula_sum 'La1 Sm6 Er1'
_cell_length_a 5.1303
_cell_length_b 5.1303
_cell_length_c 10.2679
_cell_angle_alpha 90.00
_cell_angle_beta 90.00
_cell_angle_gamma 90.00
_space_group_name_H-M_alt 'P 1'
_space_group_IT_number 1
loop_
_space_group_symop_operation_xyz
'x,y,z'
loop_
_atom_site_label
_atom_site_fract_x
_atom_site_fract_y
_atom_site_fract_z
La1 0.0000 0.0000 0.0000
Sm1 0.0000 0.5000 0.2546
Sm2 0.0000 0.5000 0.7454
Sm3 0.5000 0.0000 0.2546
Sm4 0.5000 0.0000 0.7454
Sm5 0.5000 0.5000 0.0000
Sm6 0.5000 0.5000 0.5000
Er1 0.0000 0.0000 0.5000
```

Summary:
Total moment, μB/f.u.: 0.0
Crystal system: tetragonal
Energy of formation, eV per atom: 0.02
Calculated volume, A^3/atom: 33.78
E, eV per atom: -4.70

=====

[4]
Compound: LaSm2Er
Source: the Alexandria database
Functional: PBE
Structure: relaxed

Cell and atoms, written as CIF:
```
data_LaSm2Er
_chemical_formula_sum 'La1 Sm2 Er1'
_cell_length_a 3.6305
_cell_length_b 3.6305
_cell_length_c 10.2754
_cell_angle_alpha 90.00
_cell_angle_beta 90.00
_cell_angle_gamma 90.00
_space_group_name_H-M_alt 'P 1'
_space_group_IT_number 1
loop_
_space_group_symop_operation_xyz
'x,y,z'
loop_
_atom_site_label
_atom_site_fract_x
_atom_site_fract_y
_atom_site_fract_z
La1 0.0000 0.0000 0.0000
Sm1 0.5000 0.5000 0.2579
Sm2 0.5000 0.5000 0.7421
Er1 0.0000 0.0000 0.5000
```

Summary:
Total moment, μB/f.u.: 0.0
Crystal system: tetragonal
Energy of formation, eV per atom: 0.03
Calculated volume, A^3/atom: 33.86
E, eV per atom: -4.71